A plane-wave DFT calculation with GGA-PBE was carried out for MnZnCrRu after structural relaxation.

Properties
**ΔH_f (0 K)**: 0.070 eV/atom
**Magnetization**: 1.05 μB/f.u.
**ρ**: 8.63 g/cm3

abc: 5.9471 5.9471 5.9471
angles: 90.00 90.00 90.00
With the nearest neighbours (Å) after each atom.
Space group F-43m (No. 216)
Unique sites:
Mn  0.0000  0.0000  0.0000 x4  4 Cr 2.58, 4 Zn 2.58
Zn  0.2500  0.2500  0.2500 x4  4 Mn 2.58, 4 Ru 2.58
Cr  0.2500  0.2500  0.7500 x4  4 Mn 2.58, 4 Ru 2.58
Ru  0.0000  0.0000  0.5000 x4  4 Zn 2.58, 4 Cr 2.58